No. 1
The following is a DFT calculation (meta-GGA SCAN) of a crystal of Y3HfNi relaxed with PBEsol.

Formation enthalpy at 0 K ... 22.4 kJ/mol of atoms
Density ... 6.2 g cm⁻³

Cell: 5.117 5.117 5.117 Å, 90.00 90.00 90.00°
Element x y z (fractional)
Y 0.000 0.000 0.500
Y 0.000 0.500 0.000
Y 0.500 0.000 0.000
Hf 0.500 0.500 0.500
Ni 0.000 0.000 0.000



No. 2
The following is a DFT calculation (meta-GGA SCAN) of a crystal of Hf3ZnNi relaxed with PBEsol.

Formation enthalpy at 0 K ... 24.7 kJ/mol of atoms
Density ... 10.5 g cm⁻³

Cell: 4.712 4.712 4.712 Å, 90.00 90.00 90.00°
Element x y z (fractional)
Hf 0.000 0.000 0.500
Hf 0.000 0.500 0.000
Hf 0.500 0.000 0.000
Zn 0.500 0.500 0.500
Ni 0.000 0.000 0.000



No. 3
The following is a DFT calculation (meta-GGA SCAN) of a crystal of HfZr2Ni2 relaxed with PBEsol.

Formation enthalpy at 0 K ... -36.2 kJ/mol of atoms
Density ... 9.3 g cm⁻³

Cell: 7.226 7.226 3.262 Å, 90.00 90.00 90.00°
Element x y z (fractional)
Hf 0.000 0.000 0.000
Hf 0.500 0.500 0.000
Zr 0.169 0.331 0.500
Zr 0.331 0.831 0.500
Zr 0.669 0.169 0.500
Zr 0.831 0.669 0.500
Ni 0.124 0.624 0.000
Ni 0.376 0.124 0.000
Ni 0.624 0.876 0.000
Ni 0.876 0.376 0.000



No. 4
The following is a DFT calculation (meta-GGA SCAN) of a crystal of Hf2ZrNi2 relaxed with PBEsol.

Formation enthalpy at 0 K ... -38.1 kJ/mol of atoms
Density ... 11.2 g cm⁻³

Cell: 7.233 7.233 3.219 Å, 90.00 90.00 90.00°
Element x y z (fractional)
Hf 0.165 0.335 0.000
Hf 0.335 0.835 0.000
Hf 0.665 0.165 0.000
Hf 0.835 0.665 0.000
Zr 0.000 0.000 0.500
Zr 0.500 0.500 0.500
Ni 0.125 0.625 0.500
Ni 0.375 0.125 0.500
Ni 0.625 0.875 0.500
Ni 0.875 0.375 0.500



No. 5
The following is a DFT calculation (meta-GGA SCAN) of a crystal of HfO2 relaxed with PBEsol.

Density ... 11.1 g cm⁻³
Raw formation energy ... -1094 kJ/mol of formula units

Cell: 3.549 3.549 3.549 Å, 60.00 60.00 60.00°
Element x y z (fractional)
Hf 0.000 0.000 0.000
O 0.250 0.250 0.250
O 0.750 0.750 0.750



No. 6
The following is a DFT calculation (meta-GGA SCAN) of a crystal of HfO2 relaxed with PBEsol.

Density ... 9.4 g cm⁻³
Raw formation energy ... -1108 kJ/mol of formula units

Cell: 4.811 4.811 3.198 Å, 90.00 90.00 90.00°
Element x y z (fractional)
Hf 0.000 0.000 0.000
Hf 0.500 0.500 0.500
O 0.195 0.195 0.500
O 0.305 0.695 0.000
O 0.695 0.305 0.000
O 0.805 0.805 0.500



No. 7
The following is a DFT calculation (meta-GGA SCAN) of a crystal of HfO2 relaxed with PBEsol.

Density ... 10.8 g cm⁻³
Raw formation energy ... -1106 kJ/mol of formula units

Cell: 3.554 3.554 5.126 Å, 90.00 90.00 90.00°
Element x y z (fractional)
Hf 0.250 0.750 0.250
Hf 0.750 0.250 0.750
O 0.250 0.250 0.048
O 0.250 0.250 0.548
O 0.750 0.750 0.452
O 0.750 0.750 0.952



No. 8
The following is a DFT calculation (meta-GGA SCAN) of a crystal of HfO2 relaxed with PBEsol.

Density ... 10.3 g cm⁻³
Raw formation energy ... -1120 kJ/mol of formula units

Cell: 5.079 5.154 5.247 Å, 90.00 99.67 90.00°
Element x y z (fractional)
Hf 0.223 0.043 0.292
Hf 0.223 0.457 0.792
Hf 0.777 0.543 0.208
Hf 0.777 0.957 0.708
O 0.053 0.742 0.519
O 0.053 0.758 0.019
O 0.429 0.163 0.659
O 0.429 0.337 0.159
O 0.571 0.663 0.841
O 0.571 0.837 0.341
O 0.947 0.242 0.981
O 0.947 0.258 0.481



No. 9
The following is a DFT calculation (meta-GGA SCAN) of a crystal of HfO2 relaxed with PBEsol.

Density ... 9.7 g cm⁻³
Raw formation energy ... -1112 kJ/mol of formula units

Cell: 4.883 5.693 5.186 Å, 90.00 90.00 90.00°
Element x y z (fractional)
Hf 0.000 0.178 0.250
Hf 0.000 0.822 0.750
Hf 0.500 0.322 0.750
Hf 0.500 0.678 0.250
O 0.225 0.106 0.578
O 0.225 0.894 0.078
O 0.275 0.394 0.078
O 0.275 0.606 0.578
O 0.725 0.394 0.422
O 0.725 0.606 0.922
O 0.775 0.106 0.922
O 0.775 0.894 0.422



No. 10
The following is a DFT calculation (meta-GGA SCAN) of a crystal of HfO2 relaxed with PBEsol.

Density ... 11.0 g cm⁻³
Raw formation energy ... -1096 kJ/mol of formula units

Cell: 5.060 5.154 4.883 Å, 90.00 90.00 90.00°
Element x y z (fractional)
Hf 0.223 0.218 0.228
Hf 0.277 0.718 0.772
Hf 0.723 0.282 0.772
Hf 0.777 0.782 0.228
O 0.000 0.000 0.923
O 0.000 0.500 0.011
O 0.187 0.836 0.394
O 0.313 0.336 0.606
O 0.500 0.000 0.989
O 0.500 0.500 0.077
O 0.687 0.664 0.606
O 0.813 0.164 0.394



No. 11
The following is a DFT calculation (meta-GGA SCAN) of a crystal of HfO2 relaxed with PBEsol.

Density ... 10.8 g cm⁻³
Raw formation energy ... -1115 kJ/mol of formula units

Cell: 5.024 9.949 5.194 Å, 90.00 90.00 90.00°
Element x y z (fractional)
Hf 0.246 0.115 0.036
Hf 0.246 0.385 0.536
Hf 0.254 0.615 0.036
Hf 0.254 0.885 0.536
Hf 0.746 0.115 0.464
Hf 0.746 0.385 0.964
Hf 0.754 0.615 0.464
Hf 0.754 0.885 0.964
O 0.002 0.023 0.739
O 0.002 0.477 0.239
O 0.127 0.710 0.374
O 0.127 0.790 0.874
O 0.373 0.210 0.374
O 0.373 0.290 0.874
O 0.498 0.523 0.739
O 0.498 0.977 0.239
O 0.502 0.023 0.761
O 0.502 0.477 0.261
O 0.627 0.710 0.126
O 0.627 0.790 0.626
O 0.873 0.210 0.126
O 0.873 0.290 0.626
O 0.998 0.523 0.761
O 0.998 0.977 0.261



No. 12
The following is a DFT calculation (meta-GGA SCAN) of a crystal of Hf2PO relaxed with PBEsol.

Density ... 12.0 g cm⁻³
Raw formation energy ... -513 kJ/mol of formula units

Cell: 4.296 4.296 4.296 Å, 60.00 60.00 60.00°
Element x y z (fractional)
Hf 0.250 0.250 0.250
Hf 0.750 0.750 0.750
P 0.000 0.000 0.000
O 0.500 0.500 0.500



No. 13
The following is a DFT calculation (meta-GGA SCAN) of a crystal of HfP2O7 relaxed with PBEsol.

Density ... 3.9 g cm⁻³
Raw formation energy ... -2840 kJ/mol of formula units

Cell: 8.418 8.418 8.418 Å, 90.00 90.00 90.00°
Element x y z (fractional)
Hf 0.000 0.000 0.000
Hf 0.000 0.500 0.500
Hf 0.500 0.000 0.500
Hf 0.500 0.500 0.000
P 0.108 0.608 0.892
P 0.108 0.892 0.392
P 0.392 0.108 0.892
P 0.392 0.392 0.392
P 0.608 0.608 0.608
P 0.608 0.892 0.108
P 0.892 0.108 0.608
P 0.892 0.392 0.108
O 0.000 0.000 0.500
O 0.000 0.500 0.000
O 0.058 0.721 0.421
O 0.058 0.779 0.921
O 0.079 0.558 0.721
O 0.079 0.942 0.221
O 0.221 0.079 0.942
O 0.221 0.421 0.442
O 0.279 0.579 0.942
O 0.279 0.921 0.442
O 0.421 0.058 0.721
O 0.421 0.442 0.221
O 0.442 0.221 0.421
O 0.442 0.279 0.921
O 0.500 0.000 0.000
O 0.500 0.500 0.500
O 0.558 0.721 0.079
O 0.558 0.779 0.579
O 0.579 0.558 0.779
O 0.579 0.942 0.279
O 0.721 0.079 0.558
O 0.721 0.421 0.058
O 0.779 0.579 0.558
O 0.779 0.921 0.058
O 0.921 0.058 0.779
O 0.921 0.442 0.279
O 0.942 0.221 0.079
O 0.942 0.279 0.579



No. 14
The following is a DFT calculation (meta-GGA SCAN) of a crystal of HfP2O7 relaxed with PBEsol.

Density ... 4.0 g cm⁻³
Raw formation energy ... -2836 kJ/mol of formula units

Cell: 5.040 7.119 8.448 Å, 91.71 94.27 105.46°
Element x y z (fractional)
Hf 0.000 0.000 0.000
Hf 0.500 0.500 0.500
P 0.003 0.366 0.740
P 0.374 0.749 0.811
P 0.626 0.251 0.189
P 0.997 0.634 0.260
O 0.083 0.807 0.158
O 0.173 0.329 0.605
O 0.189 0.883 0.829
O 0.202 0.535 0.859
O 0.241 0.561 0.322
O 0.370 0.195 0.072
O 0.446 0.726 0.640
O 0.554 0.274 0.360
O 0.630 0.805 0.928
O 0.759 0.439 0.678
O 0.798 0.465 0.141
O 0.811 0.117 0.171
O 0.827 0.671 0.395
O 0.917 0.193 0.842



No. 15
The following is a DFT calculation (meta-GGA SCAN) of a crystal of HfPO2 relaxed with PBEsol.

Density ... 5.5 g cm⁻³
Raw formation energy ... -635 kJ/mol of formula units

Cell: 6.064 6.064 6.064 Å, 124.15 124.15 82.94°
Element x y z (fractional)
Hf 0.000 0.000 0.000
Hf 0.750 0.250 0.500
P 0.250 0.750 0.500
P 0.500 0.500 0.000
O 0.375 0.237 0.362
O 0.763 0.125 0.138
O 0.875 0.013 0.638
O 0.987 0.625 0.862



No. 16
The following is a DFT calculation (meta-GGA SCAN) of a crystal of HfP2O7 relaxed with PBEsol.

Density ... 3.9 g cm⁻³
Raw formation energy ... -2855 kJ/mol of formula units

Cell: 5.380 12.958 10.112 Å, 90.00 122.04 90.00°
Element x y z (fractional)
Hf 0.088 0.148 0.341
Hf 0.088 0.352 0.841
Hf 0.912 0.648 0.159
Hf 0.912 0.852 0.659
P 0.314 0.691 0.566
P 0.314 0.809 0.066
P 0.455 0.027 0.695
P 0.455 0.473 0.195
P 0.545 0.527 0.805
P 0.545 0.973 0.305
P 0.686 0.191 0.934
P 0.686 0.309 0.434
O 0.118 0.735 0.619
O 0.118 0.765 0.119
O 0.151 0.676 0.391
O 0.151 0.824 0.891
O 0.223 0.547 0.182
O 0.223 0.953 0.682
O 0.299 0.030 0.306
O 0.299 0.470 0.806
O 0.327 0.114 0.576
O 0.327 0.386 0.076
O 0.403 0.576 0.635
O 0.403 0.924 0.135
O 0.405 0.248 0.372
O 0.405 0.252 0.872
O 0.595 0.748 0.128
O 0.595 0.752 0.628
O 0.597 0.076 0.865
O 0.597 0.424 0.365
O 0.673 0.614 0.924
O 0.673 0.886 0.424
O 0.701 0.530 0.194
O 0.701 0.970 0.694
O 0.777 0.047 0.318
O 0.777 0.453 0.818
O 0.849 0.176 0.109
O 0.849 0.324 0.609
O 0.882 0.235 0.881
O 0.882 0.265 0.381



No. 17
The following is a DFT calculation (meta-GGA SCAN) of a crystal of HfP3O relaxed with PBEsol.

Density ... 4.1 g cm⁻³
Raw formation energy ... 435 kJ/mol of formula units

Cell: 4.881 4.881 4.881 Å, 90.00 90.00 90.00°
Element x y z (fractional)
Hf 0.000 0.000 0.000
P 0.000 0.000 0.500
P 0.000 0.500 0.000
P 0.500 0.000 0.000
O 0.500 0.500 0.500



No. 18
The following is a DFT calculation (meta-GGA SCAN) of a crystal of RbHfP2O relaxed with PBEsol.

Density ... 5.6 g cm⁻³
Raw formation energy ... 703 kJ/mol of formula units

Cell: 4.979 4.979 4.080 Å, 90.00 90.00 90.00°
Element x y z (fractional)
Rb 0.000 0.000 0.000
Hf 0.500 0.500 0.500
P 0.000 0.500 0.000
P 0.500 0.000 0.000
O 0.000 0.000 0.500



No. 19
The following is a DFT calculation (meta-GGA SCAN) of a crystal of HfPRuO2 relaxed with PBEsol.

Density ... 8.3 g cm⁻³
Raw formation energy ... -323 kJ/mol of formula units

Cell: 3.775 3.775 4.818 Å, 90.00 90.00 90.00°
Element x y z (fractional)
Hf 0.000 0.000 0.000
P 0.500 0.500 0.000
Ru 0.500 0.500 0.500
O 0.000 0.500 0.500
O 0.500 0.000 0.500



No. 20
The following is a DFT calculation (meta-GGA SCAN) of a crystal of HfTaPO2 relaxed with PBEsol.

Density ... 8.7 g cm⁻³
Raw formation energy ... -613 kJ/mol of formula units

Cell: 3.885 3.885 5.346 Å, 90.00 90.00 90.00°
Element x y z (fractional)
Hf 0.000 0.000 0.000
Ta 0.500 0.500 0.500
P 0.000 0.000 0.500
O 0.000 0.500 0.000
O 0.500 0.000 0.000



No. 21
The following is a DFT calculation (meta-GGA SCAN) of a crystal of HfTcPO2 relaxed with PBEsol.

Density ... 8.1 g cm⁻³
Raw formation energy ... -429 kJ/mol of formula units

Cell: 3.743 3.743 4.997 Å, 90.00 90.00 90.00°
Element x y z (fractional)
Hf 0.000 0.000 0.000
Tc 0.500 0.500 0.500
P 0.500 0.500 0.000
O 0.000 0.500 0.500
O 0.500 0.000 0.500



V for every record listed, in sequence, given in Å³ per atom: 26.8; 20.9; 17.0; 16.8; 10.5; 12.3; 10.8; 11.3; 12.0; 10.6; 10.8; 14.0; 14.9; 14.5; 18.3; 14.9; 23.3; 20.2; 13.7; 16.1; 14.0.